Here is a relaxed K3Na6Tl2 crystal from Alexandria. Energies are from GGA-PBE.

Structure (extended XYZ):
```
22
Lattice="6.383 0.000 1.781 3.070 5.626 1.326 -3.542 -2.858 25.027" Properties=species:S:1:pos:R:3 pbc="T T T"
K 1.662 3.176 18.647
K 1.282 -0.737 19.986
K 3.984 0.975 22.654
K 1.927 1.792 5.479
K 4.250 -0.409 9.486
K 4.630 3.505 8.147
Na 0.322 2.585 23.480
Na 0.271 -1.169 23.690
Na 3.004 0.006 26.233
Na 0.572 1.201 10.308
Na 6.306 4.247 14.382
Na 3.577 3.073 11.840
Na 5.590 0.182 4.653
Na 5.641 3.936 4.443
Na 2.908 2.762 1.900
Na 5.340 1.566 17.825
Na -0.394 -1.480 13.751
Na 2.334 -0.306 16.293
Tl 1.120 2.766 26.793
Tl 4.558 1.382 14.510
Tl 4.792 0.002 1.340
Tl 1.354 1.385 13.623
```

Computed properties:
Symmetry = No. 15
Formation energy from the elements = -0.018 eV per atom
Total moment = 0.00 μB/atom

***

Here is a relaxed CdCuN2 crystal from Alexandria. Energies are from GGA-PBE.

Structure (extended XYZ):
```
4
Lattice="1.773 0.000 6.138 -0.887 1.536 6.138 -0.887 -1.536 6.138" Properties=species:S:1:pos:R:3 pbc="T T T"
N 0.000 0.000 16.272
N 0.000 0.000 2.142
Cu 0.000 0.000 9.207
Cd 0.000 0.000 0.000
```

Computed properties:
Symmetry = No. 166
Raw formation energy = 1.080 eV/atom
Total moment = 0.00 μB/atom

***

Here is a relaxed NaGaBi2O6 crystal from Alexandria. Energies are from GGA-PBE.

Structure (extended XYZ):
```
10
Lattice="-4.734 0.216 -2.886 -0.610 -3.092 -4.567 -3.719 -4.842 0.403" Properties=species:S:1:pos:R:3 pbc="T T T"
Na -6.505 -5.203 -5.722
Ga -1.846 -1.089 -2.387
Bi -4.379 -3.552 -3.752
Bi -3.649 -4.700 0.298
O -3.773 -1.608 -2.576
O -2.420 -4.052 -4.955
O -5.804 -2.713 -5.425
O -5.107 -5.850 -4.010
O -6.309 -4.027 -2.365
O -3.772 -4.891 -1.824
```

Computed properties:
Symmetry = No. 146
Raw formation energy = -1.337 eV/atom
Total moment = 0.00 μB/atom

***

Here is a relaxed KBa2Sr2 crystal from Alexandria. Energies are from GGA-PBE.

Structure (extended XYZ):
```
5
Lattice="5.597 0.000 0.000 0.000 5.597 0.000 2.798 2.798 10.867" Properties=species:S:1:pos:R:3 pbc="T T T"
Sr 2.798 2.798 2.132
Sr 5.597 5.597 8.734
K 0.000 0.000 0.000
Ba 5.597 2.798 5.433
Ba 2.798 5.597 5.433
```

Computed properties:
Symmetry = No. 139
Formation energy from the elements = 0.256 eV per atom
Total moment = 0.00 μB/atom

***

Here is a relaxed BeZn5Au6 crystal from Alexandria. Energies are from GGA-PBE.

Structure (extended XYZ):
```
12
Lattice="4.296 -0.249 0.639 -0.019 6.164 2.528 0.904 0.521 7.517" Properties=species:S:1:pos:R:3 pbc="T T T"
Be 0.000 0.000 0.000
Zn 3.451 1.301 5.633
Zn 1.775 2.161 3.523
Zn -0.009 3.082 1.264
Zn 3.406 4.275 7.161
Zn 1.730 5.135 5.051
Au 3.955 3.728 4.422
Au 3.965 0.425 3.067
Au 3.037 5.206 9.809
Au 2.144 1.230 0.876
Au 1.217 6.012 7.617
Au 1.227 2.708 6.262
```

Computed properties:
Symmetry = No. 12
Formation energy from the elements = -0.185 eV per atom
Total moment = 0.00 μB/atom

***

Here is a relaxed SrCuTc crystal from Alexandria. Energies are from GGA-PBE.

Structure (extended XYZ):
```
3
Lattice="6.022 0.007 -0.005 4.123 4.389 0.005 -4.879 -2.646 2.338" Properties=species:S:1:pos:R:3 pbc="T T T"
Cu 0.442 0.192 0.000
Sr 3.388 1.468 0.000
Tc 6.315 2.736 0.000
```

Computed properties:
Symmetry = No. 44
Formation energy from the elements = 0.616 eV per atom
Total moment = 0.00 μB/atom

***

Here is a relaxed Mn2AlC crystal from Alexandria. Energies are from GGA-PBE.

Structure (extended XYZ):
```
4
Lattice="2.807 0.000 0.000 -1.403 2.430 -0.001 0.000 -1.619 6.283" Properties=species:S:1:pos:R:3 pbc="T T T"
Mn 0.702 -0.404 2.103
Mn 0.702 1.216 4.179
Al 0.702 1.215 0.000
C -0.702 0.406 3.141
```

Computed properties:
Symmetry = No. 166
Formation energy from the elements = -0.119 eV per atom
Total moment = 0.03 μB/atom

***

Here is a relaxed PrGa2Ni2P crystal from Alexandria. Energies are from GGA-PBE.

Structure (extended XYZ):
```
6
Lattice="4.301 0.000 0.000 0.000 4.301 0.000 0.000 0.000 5.615" Properties=species:S:1:pos:R:3 pbc="T T T"
Pr 0.000 0.000 2.807
Ga 2.150 2.150 4.128
Ga 2.150 2.150 1.487
Ni 2.150 0.000 0.000
Ni 0.000 2.150 0.000
P 0.000 0.000 0.000
```

Computed properties:
Symmetry = No. 123
Formation energy from the elements = -0.541 eV per atom
Total moment = 0.00 μB/atom

***

Here is a relaxed ReNi14Pt crystal from Alexandria. Energies are from GGA-PBE.

Structure (extended XYZ):
```
16
Lattice="5.085 -0.011 0.000 0.011 5.085 0.000 0.000 0.000 7.074" Properties=species:S:1:pos:R:3 pbc="T T T"
Re 1.911 1.903 3.537
Ni 4.458 4.440 0.000
Ni 1.911 1.903 0.000
Ni 4.453 1.897 3.537
Ni 4.453 1.897 0.000
Ni 1.916 4.445 3.537
Ni 1.916 4.445 0.000
Ni 3.161 0.647 1.727
Ni 3.161 0.647 5.347
Ni 0.660 3.158 1.727
Ni 0.660 3.158 5.347
Ni 3.166 3.153 1.727
Ni 3.166 3.153 5.346
Ni 0.656 0.653 1.727
Ni 0.656 0.653 5.346
Pt 4.458 4.440 3.537
```

Computed properties:
Symmetry = No. 123
Formation energy from the elements = 0.012 eV per atom
Total moment = 0.35 μB/atom

***

Here is a relaxed SrBiPb2Cl crystal from Alexandria. Energies are from GGA-PBE.

Structure (extended XYZ):
```
5
Lattice="-5.783 -2.310 1.194 1.944 -2.848 3.908 -1.079 4.781 4.021" Properties=species:S:1:pos:R:3 pbc="T T T"
Pb -0.540 2.391 2.011
Pb -2.891 -1.155 0.597
Sr 0.000 0.000 0.000
Bi -2.459 -0.188 4.562
Cl 0.972 -1.424 1.954
```

Computed properties:
Symmetry = No. 123
Raw formation energy = 0.037 eV/atom
Total moment = 0.01 μB/atom

***

Here is a relaxed PaGeSb2 crystal from Alexandria. Energies are from GGA-PBE.

Structure (extended XYZ):
```
4
Lattice="3.998 0.000 0.000 0.000 3.998 0.000 0.000 0.000 6.153" Properties=species:S:1:pos:R:3 pbc="T T T"
Sb 0.000 0.000 4.627
Sb 0.000 0.000 1.526
Ge 1.999 1.999 0.000
Pa 1.999 1.999 3.077
```

Computed properties:
Symmetry = No. 123
Raw formation energy = -0.263 eV/atom
Total moment = 0.00 μB/atom

***

Here is a relaxed AcPmCoRh crystal from Alexandria. Energies are from GGA-PBE.

Structure (extended XYZ):
```
4
Lattice="-1.101 -4.278 2.496 1.743 -0.708 4.712 -3.204 0.111 3.933" Properties=species:S:1:pos:R:3 pbc="T T T"
Co 0.000 0.000 0.000
Ac -1.921 -3.656 8.356
Rh -1.281 -2.437 5.571
Pm -0.640 -1.219 2.785
```

Computed properties:
Symmetry = No. 216
Formation energy from the elements = -0.218 eV per atom
Total moment = 0.15 μB/atom

***

Here is a relaxed NiRhCl3 crystal from Alexandria. Energies are from GGA-PBE.

Structure (extended XYZ):
```
5
Lattice="-0.454 1.601 4.297 3.184 -2.997 1.454 3.300 3.113 -0.811" Properties=species:S:1:pos:R:3 pbc="T T T"
Ni 0.000 0.000 0.000
Rh 3.015 0.858 2.470
Cl 1.592 -1.499 0.727
Cl 1.650 1.556 -0.405
Cl -0.227 0.801 2.149
```

Computed properties:
Symmetry = No. 221
Raw formation energy = 0.373 eV/atom
Total moment = 0.02 μB/atom

***

Here is a relaxed InPt2Cl crystal from Alexandria. Energies are from GGA-PBE.

Structure (extended XYZ):
```
4
Lattice="-0.337 3.105 -1.285 0.536 -1.228 -3.107 -6.499 -1.006 -0.724" Properties=species:S:1:pos:R:3 pbc="T T T"
Cl -1.525 0.687 -2.377
Pt -6.250 -0.967 -0.697
Pt -3.499 -0.541 -0.390
In -4.775 0.184 -2.739
```

Computed properties:
Symmetry = No. 123
Raw formation energy = 0.015 eV/atom
Total moment = 0.00 μB/atom

***

Here is a relaxed InW2Cl2 crystal from Alexandria. Energies are from GGA-PBE.

Structure (extended XYZ):
```
5
Lattice="-2.166 2.166 4.978 2.166 -2.166 4.978 2.166 2.166 -4.978" Properties=species:S:1:pos:R:3 pbc="T T T"
In 0.000 0.000 0.000
W 2.166 0.000 2.489
W 0.000 2.166 2.489
Cl 0.000 0.000 6.373
Cl 0.000 0.000 3.583
```

Computed properties:
Symmetry = No. 139
Raw formation energy = 0.989 eV/atom
Total moment = 0.00 μB/atom

***

Here is a relaxed U4Sb2H crystal from Alexandria. Energies are from GGA-PBE.

Structure (extended XYZ):
```
7
Lattice="4.441 0.000 0.000 0.000 4.441 0.000 2.221 2.221 7.987" Properties=species:S:1:pos:R:3 pbc="T T T"
Sb 4.441 4.441 5.664
Sb 2.221 2.221 2.323
U 4.441 4.441 2.516
U 2.221 2.221 5.471
U 0.000 2.221 0.000
U 2.221 0.000 0.000
H 0.000 0.000 0.000
```

Computed properties:
Symmetry = No. 139
Total moment = 1.34 μB/atom
Uncorrected energy = -8.143 eV/atom

***

Here is a relaxed MgSc3Be crystal from Alexandria. Energies are from GGA-PBE.

Structure (extended XYZ):
```
5
Lattice="-3.760 3.476 -0.533 -0.123 -0.909 -5.066 -3.515 -3.687 0.747" Properties=species:S:1:pos:R:3 pbc="T T T"
Sc -0.061 -0.455 -2.533
Sc -1.757 -1.844 0.373
Sc -1.880 1.738 -0.266
Be -3.699 -0.560 -2.426
Mg 0.000 0.000 0.000
```

Computed properties:
Symmetry = No. 221
Formation energy from the elements = 1.186 eV per atom
Total moment = 0.20 μB/atom

***

Here is a relaxed Sm2TmTh2 crystal from Alexandria. Energies are from GGA-PBE.

Structure (extended XYZ):
```
10
Lattice="1.465 -2.334 5.501 1.823 -9.406 -0.360 6.312 5.440 4.743" Properties=species:S:1:pos:R:3 pbc="T T T"
Sm 5.816 -4.210 3.388
Sm 3.785 -2.091 6.497
Sm 2.409 -3.051 3.015
Sm 7.192 -3.249 6.870
Tm 3.387 -9.621 4.294
Tm 6.214 3.321 5.590
Th 3.102 -6.267 4.018
Th 5.258 -7.729 6.373
Th 4.343 1.428 3.511
Th 6.499 -0.033 5.866
```

Computed properties:
Symmetry = No. 15
Formation energy from the elements = 0.208 eV per atom
Total moment = 0.00 μB/atom

***

Here is a relaxed InI2O6 crystal from Alexandria. Energies are from GGA-PBE.

Structure (extended XYZ):
```
18
Lattice="-0.977 -2.874 -4.987 -4.947 -4.745 2.604 -4.384 4.986 -3.113" Properties=species:S:1:pos:R:3 pbc="T T T"
In -4.673 3.494 -3.905
In -5.635 -6.127 -1.591
I -6.576 0.601 -2.574
I -3.096 0.773 -1.939
I -3.733 -3.234 -2.922
I -7.213 -3.406 -3.558
O -6.163 -2.584 -2.297
O -4.771 -3.845 -4.306
O -4.146 -0.048 -3.199
O -5.538 1.212 -1.190
O -7.114 -5.187 -2.916
O -4.017 -4.645 -1.688
O -3.195 2.554 -2.580
O -6.292 2.012 -3.808
O -8.221 0.478 -1.342
O -1.531 -0.501 -2.350
O -2.088 -3.111 -4.155
O -8.777 -2.131 -3.146
```

Computed properties:
Symmetry = No. 15
Raw formation energy = -0.471 eV/atom
Total moment = 0.00 μB/atom

***

Here is a relaxed Sc4CdGa2Pt crystal from Alexandria. Energies are from GGA-PBE.

Structure (extended XYZ):
```
8
Lattice="4.802 0.000 0.000 2.401 4.158 0.000 2.401 1.386 7.816" Properties=species:S:1:pos:R:3 pbc="T T T"
Sc 4.802 2.772 6.673
Sc 7.202 4.158 3.051
Sc 2.401 1.386 4.765
Sc 4.802 2.772 1.142
Cd 0.000 0.000 0.000
Ga 7.202 4.158 5.990
Ga 2.401 1.386 1.825
Pt 4.802 2.772 3.908
```

Computed properties:
Symmetry = No. 166
Formation energy from the elements = -0.692 eV per atom
Total moment = 0.00 μB/atom

***

Here is a relaxed AcSi6Ir12 crystal from Alexandria. Energies are from GGA-PBE.

Structure (extended XYZ):
```
19
Lattice="6.801 -0.108 -1.819 -2.343 6.385 -1.819 -0.077 -0.108 7.039" Properties=species:S:1:pos:R:3 pbc="T T T"
Ac 0.000 0.000 0.000
Si 4.041 1.452 0.031
Si 1.031 1.452 3.907
Si 0.039 4.294 0.031
Si 3.349 4.717 -0.506
Si 0.340 4.717 3.370
Si 4.341 1.875 3.370
Ir 5.544 0.703 1.700
Ir 4.164 3.448 1.462
Ir 2.449 3.448 3.672
Ir 2.497 1.101 1.939
Ir 1.932 2.721 -0.271
Ir 0.216 2.721 1.939
Ir -0.332 3.084 4.949
Ir 1.359 5.466 -1.548
Ir -1.163 5.466 1.700
Ir 4.712 3.084 -1.548
Ir 3.022 0.703 4.949
Ir 1.883 5.068 1.462
```

Computed properties:
Symmetry = No. 166
Raw formation energy = -0.539 eV/atom
Total moment = 0.00 μB/atom

***

Here is a relaxed Ac3LaTl crystal from Alexandria. Energies are from GGA-PBE.

Structure (extended XYZ):
```
10
Lattice="5.124 0.000 1.171 0.000 5.271 0.000 -0.509 0.000 14.024" Properties=species:S:1:pos:R:3 pbc="T T T"
Ac 3.896 1.318 2.398
Ac 1.499 1.318 12.885
Ac 2.685 1.318 7.695
Ac 1.314 3.953 1.899
Ac 4.041 3.953 13.557
Ac 0.128 3.953 7.089
La 2.093 3.953 10.288
La 0.720 1.318 4.496
Tl 3.283 3.953 5.081
Tl 4.654 1.318 10.874
```

Computed properties:
Symmetry = No. 63
Formation energy from the elements = -0.095 eV per atom
Total moment = 0.00 μB/atom

***

Here is a relaxed AcNdPd crystal from Alexandria. Energies are from GGA-PBE.

Structure (extended XYZ):
```
3
Lattice="-3.246 -3.099 0.047 2.993 -3.169 -2.259 -0.117 0.196 4.905" Properties=species:S:1:pos:R:3 pbc="T T T"
Ac -0.134 -0.128 0.002
Nd -0.914 -2.677 2.543
Pd 0.679 -3.267 0.147
```

Computed properties:
Symmetry = No. 156
Formation energy from the elements = -0.347 eV per atom
Total moment = 0.00 μB/atom